[1]
{"formula": "NbCd2S", "functional": "PBE", "state": "optimized geometry", "dos_ef_per_ev_cell": 7.8, "final_energy_ev_per_atom": -3.729, "formation_energy_uncorrected_mev_per_atom": 278, "sg": "No. 122", "mass_density_g_cm3": 7.0, "lattice_angstrom": [[8.029, 0.000, 0.000], [0.000, 8.029, 0.000], [4.014, 4.014, 2.559]], "species": ["Nb", "Cd", "S", "S", "Cd", "Nb", "Cd", "Cd"], "frac_coords": [[0.000, 0.000, 0.000], [0.586, 0.125, 0.250], [0.250, 0.750, 0.500], [0.500, 0.500, 0.000], [0.375, 0.414, 0.750], [0.750, 0.250, 0.500], [0.875, 0.836, 0.750], [0.164, 0.625, 0.250]]}

***

[2]
{"formula": "LiInHg2", "functional": "PBE", "state": "optimized geometry", "e_form_ev_per_atom": -0.19, "dos_ef_per_ev_cell": 1.4, "final_energy_ev_per_atom": -1.506, "sg": "No. 65", "mass_density_g_cm3": 9.6, "lattice_angstrom": [[3.258, 0.023, 0.000], [-0.034, 3.258, 0.000], [0.000, 0.000, 8.480]], "species": ["Hg", "Li", "In", "Hg"], "frac_coords": [[0.000, 0.000, 0.967], [0.500, 0.500, 0.750], [0.500, 0.500, 0.250], [0.000, 0.000, 0.533]]}

***

| no. | total moment (μB/cell) |
| --- | --- |
| 1 | 0.00 |
| 2 | 0.00 |